GaBiAs2Br: optimized geometry, GGA-PBE.

Computed properties:
**Energy relative to the lowest polymorph listed for this composition**: 221 meV per atom
**Final energy**: -15.0 eV per formula unit
**Formation energy without anion corrections**: 2.9 eV per formula unit
**V**: 179.4 Å³/cell

POSCAR file:
```
GaBiAs2Br
1.0
5.4976 0.0000 0.0000
0.0000 5.4976 0.0000
0.0000 0.0000 5.9372
Br Ga As Bi
1 1 2 1
direct
0.0000 0.0000 0.5000
0.5000 0.5000 0.5000
0.5000 0.0000 0.0000
0.0000 0.5000 0.0000
0.0000 0.0000 0.0000
```